The following is a PBE calculation of a geometry-optimized LiVCl6 structure, from Alexandria.

Geometry as extended XYZ:
```
8
Lattice="3.115 1.798 5.532 -3.115 1.798 5.532 0.000 -3.597 5.532" Properties=species:S:1:pos:R:3 pbc="T T T"
Li 0.000 0.000 0.000
V 0.000 0.000 8.298
Cl -0.902 -1.635 6.991
Cl -1.867 -0.037 9.604
Cl -0.966 1.598 6.991
Cl 0.966 -1.598 9.604
Cl 1.867 0.037 6.991
Cl 0.902 1.635 9.604
```

The raw formation energy comes out at -1.113 eV/atom. For the volume, the calculation gives 23.24 Å³/atom. The calculation puts the mass density at 2.4 Mg/m³. The calculation puts the calculated total energy at -3.8769 eV per atom.